{"formula": "HoOF", "functional": "meta-GGA SCAN", "state": "single point on PBEsol structure", "energy_ev_per_fu": -71.503, "formation_energy_uncorrected_ev_per_atom": -4.25, "cell": [[-0.6207, 3.5805, -0.9171], [-3.3020, 1.5900, 0.7843], [0.8748, 3.5216, 5.4988]], "species": ["O", "O", "Ho", "Ho", "F", "F"], "frac_coords": [[0.3785, 0.3785, 0.8646], [0.6215, 0.6215, 0.1354], [0.7413, 0.7413, 0.7760], [0.2587, 0.2587, 0.2240], [0.1301, 0.1301, 0.6096], [0.8699, 0.8699, 0.3904]]}